[1]
Crystalline NaSb3Se at its relaxed geometry, computed with PBE-GGA.

Cell and atoms, written as POSCAR:
```
NaSb3Se
1.0
5.359 0.000 0.000
0.000 5.359 0.000
0.000 0.000 5.359
Na Sb Se
1 3 1
Cartesian
0.000 0.000 0.000 Na
0.000 0.000 2.679 Sb
0.000 2.679 0.000 Sb
2.679 0.000 0.000 Sb
2.679 2.679 2.679 Se
```

Excess energy over the best structure of this formula in the dataset (meV/atom): 574.5
Uncorrected formation energy (eV per formula unit): 4.67
Density (g/cm³): 5.04
Total energy (eV per cell): -12.50
Space-group type: Pm-3m

=====

[2]
Crystalline CaCoCuW2 at its relaxed geometry, computed with PBE-GGA.

Cell and atoms, written as POSCAR:
```
CaCoCuW2
1.0
4.691 0.000 0.000
0.000 4.691 0.000
0.000 0.000 4.208
Ca Co Cu W
1 1 1 2
Cartesian
0.000 0.000 0.000 Ca
0.000 0.000 2.104 Co
2.346 2.346 2.104 Cu
0.000 2.346 0.000 W
2.346 0.000 0.000 W
```

Density (g/cm³): 9.51
E_form (eV per formula unit): 14.87
Total energy (eV per cell): -24.24
Space-group type: P4/mmm